No. 1
SnBiCl2: optimized geometry, GGA-PBEsol.

Cell: 3.4490 3.4490 30.1529 Å, 90.00 90.00 120.00°
Sites, in units of the cell vectors:
Sn 0.0000 0.0000 0.0000
Sn 0.3333 0.6667 0.6667
Sn 0.6667 0.3333 0.3333
Bi 0.0000 0.0000 0.5000
Bi 0.3333 0.6667 0.1667
Bi 0.6667 0.3333 0.8333
Cl 0.0000 0.0000 0.4108
Cl 0.0000 0.0000 0.5892
Cl 0.3333 0.6667 0.0775
Cl 0.3333 0.6667 0.2558
Cl 0.6667 0.3333 0.7442
Cl 0.6667 0.3333 0.9225

Calculated values
formation energy from raw total energies = -504.0 meV per atom
calculated density = 6.4 g cm⁻³

***

No. 2
LiLa2In: optimized geometry, GGA-PBEsol.

Cell: 3.8172 5.3295 10.7131 Å, 90.00 90.00 90.00°
Sites, in units of the cell vectors:
Li 0.0000 0.0000 0.0000
Li 0.5000 0.5000 0.5000
La 0.0000 0.0000 0.5407
La 0.0000 0.5000 0.7649
La 0.5000 0.0000 0.2649
La 0.5000 0.5000 0.0407
In 0.0000 0.5000 0.3157
In 0.5000 0.0000 0.8157

Calculated values
formation energy = -0.2479 eV per atom
calculated density = 6.1 g cm⁻³

***

No. 3
TaSiRu2: optimized geometry, GGA-PBEsol.

Cell: 6.0688 6.0688 6.0688 Å, 90.00 90.00 90.00°
Sites, in units of the cell vectors:
Ta 0.0000 0.0000 0.0000
Ta 0.0000 0.5000 0.5000
Ta 0.5000 0.0000 0.5000
Ta 0.5000 0.5000 0.0000
Si 0.0000 0.0000 0.5000
Si 0.0000 0.5000 0.0000
Si 0.5000 0.0000 0.0000
Si 0.5000 0.5000 0.5000
Ru 0.2500 0.2500 0.2500
Ru 0.2500 0.2500 0.7500
Ru 0.2500 0.7500 0.2500
Ru 0.2500 0.7500 0.7500
Ru 0.7500 0.2500 0.2500
Ru 0.7500 0.2500 0.7500
Ru 0.7500 0.7500 0.2500
Ru 0.7500 0.7500 0.7500

Calculated values
formation energy from raw total energies = -477.1 meV per atom
calculated density = 12.2 g cm⁻³